No. 1
The following is a DFT calculation (SCAN) of a PBEsol-optimized structure of Ba2Ca3Cu4HgO10.

Crystal system = tetragonal
Raw formation energy = -3730 kJ/mol of formula units
ρ = 5.99 Mg/m³

a b c (Å): 3.831 3.831 19.076
angles (deg): 90.00 90.00 90.00
Space group P4/mmm (No. 123)
Inequivalent atoms, fractional coordinates:
1 Ba 0.000 0.000 0.153 (multiplicity 2)
2 Ca 0.000 0.000 0.335 (multiplicity 2)
3 Ca 0.000 0.000 0.500 (multiplicity 1)
4 Cu 0.500 0.500 0.258 (multiplicity 2)
5 Cu 0.500 0.500 0.417 (multiplicity 2)
6 Hg 0.500 0.500 0.000 (multiplicity 1)
7 O 0.000 0.500 0.254 (multiplicity 4)
8 O 0.000 0.500 0.418 (multiplicity 4)
9 O 0.500 0.500 0.104 (multiplicity 2)

=====

No. 2
The following is a DFT calculation (SCAN) of a PBEsol-optimized structure of Ba2CaCuI.

Crystal system = tetragonal
Raw formation energy = 57 kJ/mol of formula units
ρ = 3.84 Mg/m³

a b c (Å): 6.738 6.738 4.813
angles (deg): 90.00 90.00 90.00
Space group P4/mmm (No. 123)
Inequivalent atoms, fractional coordinates:
1 Ba 0.000 0.500 0.000 (multiplicity 2)
2 Ca 0.000 0.000 0.000 (multiplicity 1)
3 Cu 0.000 0.000 0.500 (multiplicity 1)
4 I 0.500 0.500 0.500 (multiplicity 1)

=====

No. 3
The following is a DFT calculation (SCAN) of a PBEsol-optimized structure of Ba3CaLa2Cu6O13.

Crystal system = monoclinic
Raw formation energy = -5005 kJ/mol of formula units
ρ = 6.31 Mg/m³

a b c (Å): 7.657 7.755 11.695
angles (deg): 90.00 90.90 90.00
Space group Cm (No. 8)
Inequivalent atoms, fractional coordinates:
1 Ba 0.000 0.000 0.000 (multiplicity 2)
2 Ba 0.005 0.500 0.624 (multiplicity 2)
3 Ba 0.013 0.000 0.623 (multiplicity 2)
4 Ca 0.003 0.500 0.319 (multiplicity 2)
5 La 0.002 0.000 0.312 (multiplicity 2)
6 La 0.499 0.000 0.025 (multiplicity 2)
7 Cu 0.247 0.251 0.170 (multiplicity 4)
8 Cu 0.253 0.238 0.821 (multiplicity 4)
9 Cu 0.256 0.251 0.455 (multiplicity 4)
10 O 0.006 0.250 0.443 (multiplicity 4)
11 O 0.214 0.290 0.970 (multiplicity 4)
12 O 0.241 0.500 0.182 (multiplicity 2)
13 O 0.255 0.000 0.172 (multiplicity 2)
14 O 0.256 0.000 0.445 (multiplicity 2)
15 O 0.256 0.500 0.446 (multiplicity 2)
16 O 0.265 0.259 0.668 (multiplicity 4)
17 O 0.290 0.000 0.851 (multiplicity 2)
18 O 0.497 0.244 0.174 (multiplicity 4)

=====

No. 4
The following is a DFT calculation (SCAN) of a PBEsol-optimized structure of Ba2Ca2NdTi2Cu2O12.

Crystal system = tetragonal
Raw formation energy = -5690 kJ/mol of formula units
ρ = 5.74 Mg/m³

a b c (Å): 3.893 3.893 34.885
angles (deg): 90.00 90.00 90.00
Space group I4/mmm (No. 139)
Inequivalent atoms, fractional coordinates:
1 Ba 0.000 0.000 0.107 (multiplicity 4)
2 Ca 0.000 0.000 0.213 (multiplicity 4)
3 Nd 0.000 0.000 0.000 (multiplicity 2)
4 Ti 0.000 0.000 0.332 (multiplicity 4)
5 Cu 0.000 0.000 0.448 (multiplicity 4)
6 O 0.000 0.000 0.277 (multiplicity 4)
7 O 0.000 0.000 0.390 (multiplicity 4)
8 O 0.000 0.500 0.043 (multiplicity 8)
9 O 0.000 0.500 0.168 (multiplicity 8)

=====

No. 5
The following is a DFT calculation (SCAN) of a PBEsol-optimized structure of Ba2CaSm2Ti3Cu2O14.

Crystal system = tetragonal
Raw formation energy = -6942 kJ/mol of formula units
ρ = 6.15 Mg/m³

a b c (Å): 3.836 3.836 20.378
angles (deg): 90.00 90.00 90.00
Space group P4/mmm (No. 123)
Inequivalent atoms, fractional coordinates:
1 Ba 0.000 0.000 0.170 (multiplicity 2)
2 Ca 0.000 0.000 0.000 (multiplicity 1)
3 Sm 0.000 0.000 0.397 (multiplicity 2)
4 Ti 0.500 0.500 0.301 (multiplicity 2)
5 Ti 0.500 0.500 0.500 (multiplicity 1)
6 Cu 0.500 0.500 0.072 (multiplicity 2)
7 O 0.000 0.500 0.076 (multiplicity 4)
8 O 0.000 0.500 0.321 (multiplicity 4)
9 O 0.000 0.500 0.500 (multiplicity 2)
10 O 0.500 0.500 0.214 (multiplicity 2)
11 O 0.500 0.500 0.407 (multiplicity 2)

=====

No. 6
The following is a DFT calculation (SCAN) of a PBEsol-optimized structure of Ba2Ca3TlCu4O11.

Crystal system = orthorhombic
Raw formation energy = -3856 kJ/mol of formula units
ρ = 6.23 Mg/m³

a b c (Å): 3.797 18.982 3.809
angles (deg): 90.00 90.00 90.00
Space group Pmm2 (No. 25)
Inequivalent atoms, fractional coordinates:
1 Ba 0.000 0.139 0.000 (multiplicity 2)
2 Ca 0.000 0.330 0.000 (multiplicity 2)
3 Ca 0.000 0.500 0.999 (multiplicity 1)
4 Tl 0.500 0.000 0.561 (multiplicity 1)
5 Cu 0.500 0.245 0.500 (multiplicity 2)
6 Cu 0.500 0.417 0.499 (multiplicity 2)
7 O 0.000 0.000 0.913 (multiplicity 1)
8 O 0.000 0.254 0.501 (multiplicity 2)
9 O 0.000 0.418 0.499 (multiplicity 2)
10 O 0.500 0.111 0.489 (multiplicity 2)
11 O 0.500 0.254 0.000 (multiplicity 2)
12 O 0.500 0.418 0.999 (multiplicity 2)

=====

No. 7
The following is a DFT calculation (SCAN) of a PBEsol-optimized structure of Ba2Ca2Tl2Cu3O10.

Crystal system = monoclinic
Raw formation energy = -3227 kJ/mol of formula units
ρ = 7.00 Mg/m³

a b c (Å): 36.419 3.828 3.815
angles (deg): 90.00 96.01 90.00
Space group C2 (No. 5)
Inequivalent atoms, fractional coordinates:
1 Ba 0.141 0.000 0.141 (multiplicity 4)
2 Ca 0.044 0.999 0.045 (multiplicity 4)
3 Tl 0.219 0.473 0.718 (multiplicity 4)
4 Cu 0.000 0.499 0.500 (multiplicity 2)
5 Cu 0.085 0.499 0.586 (multiplicity 4)
6 O 0.000 0.499 0.000 (multiplicity 2)
7 O 0.000 0.999 0.500 (multiplicity 2)
8 O 0.086 0.499 0.087 (multiplicity 4)
9 O 0.086 0.999 0.587 (multiplicity 4)
10 O 0.162 0.503 0.663 (multiplicity 4)
11 O 0.225 0.080 0.225 (multiplicity 4)

=====

No. 8
The following is a DFT calculation (SCAN) of a PBEsol-optimized structure of Ba2Ca3Tl2Cu4O12.

Crystal system = tetragonal
Raw formation energy = -3963 kJ/mol of formula units
ρ = 6.53 Mg/m³

a b c (Å): 3.855 3.855 42.751
angles (deg): 90.00 90.00 90.00
Space group I4/mmm (No. 139)
Inequivalent atoms, fractional coordinates:
1 Ba 0.000 0.000 0.155 (multiplicity 4)
2 Ca 0.000 0.000 0.000 (multiplicity 2)
3 Ca 0.000 0.000 0.074 (multiplicity 4)
4 Tl 0.000 0.000 0.277 (multiplicity 4)
5 Cu 0.000 0.000 0.391 (multiplicity 4)
6 Cu 0.000 0.000 0.463 (multiplicity 4)
7 O 0.000 0.000 0.326 (multiplicity 4)
8 O 0.000 0.500 0.037 (multiplicity 8)
9 O 0.000 0.500 0.109 (multiplicity 8)
10 O 0.000 0.500 0.250 (multiplicity 4)

=====

No. 9
The following is a DFT calculation (SCAN) of a PBEsol-optimized structure of BaCa2CuSe.

Crystal system = tetragonal
Raw formation energy = 386 kJ/mol of formula units
ρ = 2.41 Mg/m³

a b c (Å): 6.581 6.581 5.720
angles (deg): 90.00 90.00 90.00
Space group P4/mmm (No. 123)
Inequivalent atoms, fractional coordinates:
1 Ba 0.000 0.000 0.000 (multiplicity 1)
2 Ca 0.000 0.500 0.000 (multiplicity 2)
3 Cu 0.500 0.500 0.500 (multiplicity 1)
4 Se 0.000 0.000 0.500 (multiplicity 1)

=====

| no. | electronic total energy (Ry/atom) |
| --- | --- |
| 1 | -1.2422 |
| 2 | -2.0596 |
| 3 | -1.2894 |
| 4 | -1.1837 |
| 5 | -1.2719 |
| 6 | -1.2241 |
| 7 | -1.4874 |
| 8 | -1.3723 |
| 9 | -1.3253 |